<a>
The following is a PBE-GGA calculation of CdCu2Pd5 after structural relaxation, from Alexandria.

Cell and atoms, written as extended XYZ:
```
8
Lattice="5.0211 0.7555 -2.1671 -1.9134 4.7026 -2.1686 -0.4334 -0.7593 5.4510" Properties=species:S:1:pos:R:3 pbc="T T T"
Cd 1.9832 3.4865 2.0786
Cu -0.3094 3.4887 0.4362
Cu 3.1577 1.5150 0.4368
Pd 0.6472 1.1368 1.5209
Pd -0.5267 3.1084 3.1622
Pd 3.3740 1.8947 -2.2885
Pd 2.2010 3.8658 -0.6472
Pd 0.8633 1.5166 -1.2047
```

Computed properties:
Magnetic moment = 0.00 μB/f.u.
ρ = 10548 kg/m³
Crystal system = tetragonal
SG = I4/mmm (139)

---

<b>
The following is a PBE-GGA calculation of CdCu2Pd5 after structural relaxation, from Alexandria.

Cell and atoms, written as extended XYZ:
```
16
Lattice="-3.5371 5.5416 1.4325 -2.5085 -3.0145 5.4674 7.2209 0.6460 -0.4710" Properties=species:S:1:pos:R:3 pbc="T T T"
Cd -0.9238 2.2183 4.9395
Cd 2.0991 0.9547 1.4895
Cu -1.4009 -0.2873 2.1584
Cu -2.6306 3.1311 1.7001
Cu -3.4150 -0.6040 5.1999
Cu -4.6447 2.8144 4.7416
Pd 1.5037 1.0939 4.1975
Pd -0.6354 4.6329 1.0271
Pd 0.0000 0.0000 0.0000
Pd -3.0228 1.2635 3.4500
Pd 1.8107 -1.4599 5.4018
Pd 2.0451 3.7179 1.7525
Pd 0.2406 4.4722 3.8120
Pd -0.8698 -0.5449 4.6765
Pd 0.9347 -1.2992 2.6170
Pd -0.3284 2.0791 2.2314
```

Computed properties:
Magnetic moment = 0.00 μB/f.u.
ρ = 10309 kg/m³
Crystal system = tetragonal
SG = I4/mcm (140)

---

Most stable structure: <a>

---

<a>
The following is a PBE-GGA calculation of CdCu2Pd2 after structural relaxation, from Alexandria.

Cell and atoms, written as extended XYZ:
```
10
Lattice="-3.7710 -2.5073 -5.6218 5.7978 0.7680 -4.2316 0.8454 -2.7495 0.6592" Properties=species:S:1:pos:R:3 pbc="T T T"
Cu 3.6641 -0.2726 -5.8357
Cu 0.2999 -1.7222 -7.5673
Cu -1.6372 -1.4667 -4.0176
Cu 1.7270 -0.0171 -2.2861
Pd 3.6713 -1.2908 -3.4863
Pd 2.6840 -2.4255 -6.9527
Pd -0.7991 -3.1979 -5.7078
Pd 0.1883 -2.0632 -2.2414
Cd 0.0000 0.0000 0.0000
Cd 1.0134 -0.8697 -4.9267
```

Computed properties:
Magnetic moment = 0.00 μB/f.u.
ρ = 9769 kg/m³
Crystal system = tetragonal
SG = P4/mbm (127)

---

<b>
The following is a PBE-GGA calculation of CdCu2Pd2 after structural relaxation, from Alexandria.

Cell and atoms, written as extended XYZ:
```
5
Lattice="-2.1027 -0.0389 3.2334 -2.3542 -2.6256 -1.5625 0.9815 -5.4232 2.8737" Properties=species:S:1:pos:R:3 pbc="T T T"
Cu -1.5709 -2.1703 1.2530
Cu -1.9045 -5.9174 3.2916
Pd -1.6748 -3.3972 3.4712
Pd -1.8006 -4.6906 1.0733
Cd 0.0000 0.0000 0.0000
```

Computed properties:
Magnetic moment = 0.00 μB/f.u.
ρ = 9040 kg/m³
Crystal system = tetragonal
SG = I4/mmm (139)

---

<c>
The following is a PBE-GGA calculation of CdCu2Pd2 after structural relaxation, from Alexandria.

Cell and atoms, written as extended XYZ:
```
5
Lattice="3.4851 0.0000 0.0000 0.0000 3.4851 0.0000 1.7426 1.7426 6.6733" Properties=species:S:1:pos:R:3 pbc="T T T"
Cu 3.4851 1.7426 3.3366
Cu 1.7426 3.4851 3.3366
Pd 1.7426 1.7426 1.4051
Pd 3.4851 3.4851 5.2681
Cd 0.0000 0.0000 0.0000
```

Computed properties:
Magnetic moment = 0.00 μB/f.u.
ρ = 9267 kg/m³
Crystal system = tetragonal
SG = I4/mmm (139)

---

<d>
The following is a PBE-GGA calculation of CdCu2Pd2 after structural relaxation, from Alexandria.

Cell and atoms, written as extended XYZ:
```
10
Lattice="-2.8284 -6.5279 1.7069 5.3439 -3.2972 -3.7547 1.6415 -0.0816 2.4080" Properties=species:S:1:pos:R:3 pbc="T T T"
Cu 3.8894 -3.2387 -0.9963
Cu 3.4618 -7.1114 -0.8361
Cu 0.2676 -6.6680 1.3564
Cu 0.6952 -2.7953 1.1962
Pd 3.5832 -5.2077 -2.6192
Pd 0.9693 -7.7314 -0.9229
Pd -1.0677 -4.6174 0.5713
Pd 1.5462 -2.0936 -1.1250
Cd 0.0000 0.0000 0.0000
Cd 1.2577 -4.9125 -1.0239
```

Computed properties:
Magnetic moment = 0.00 μB/f.u.
ρ = 9627 kg/m³
Crystal system = tetragonal
SG = P4/mbm (127)

---

Most stable structure: <a>

---

<a>
The following is a PBE-GGA calculation of CdCuPd after structural relaxation, from Alexandria.

Cell and atoms, written as extended XYZ:
```
12
Lattice="4.7409 0.0000 0.0000 2.3705 7.0860 0.0000 2.3705 0.0000 6.2772" Properties=species:S:1:pos:R:3 pbc="T T T"
Cd 4.7409 5.5598 1.5299
Cd 2.3705 1.5262 1.5299
Cd 7.1114 5.5598 4.7473
Cd 4.7409 1.5262 4.7473
Cu 4.7409 0.0000 2.2506
Cu 4.7410 1.2277 0.0000
Cu 2.3705 5.8583 0.0000
Cu 2.3705 0.0000 4.0266
Pd 2.3705 4.4088 2.1266
Pd 4.7410 2.6772 2.1266
Pd 4.7409 4.4088 4.1506
Pd 7.1114 2.6772 4.1506
```

Computed properties:
Magnetic moment = 0.00 μB/f.u.
ρ = 8894 kg/m³
Crystal system = orthorhombic
SG = Fmmm (69)

---

<b>
The following is a PBE-GGA calculation of CdCuPd after structural relaxation, from Alexandria.

Cell and atoms, written as extended XYZ:
```
3
Lattice="2.8513 0.0000 0.0000 0.0000 4.4157 0.0000 0.0000 -2.2078 3.8241" Properties=species:S:1:pos:R:3 pbc="T T T"
Cu 0.1732 0.0000 0.0000
Pd 0.7123 0.0000 2.5494
Cd 1.9659 2.2078 1.2747
```

Computed properties:
Magnetic moment = 0.00 μB/f.u.
ρ = 9739 kg/m³
Crystal system = trigonal
SG = P3m1 (156)

---

Most stable structure: <b>

---

<a>
The following is a PBE-GGA calculation of CdCuPd after structural relaxation, from Alexandria.

Cell and atoms, written as extended XYZ:
```
3
Lattice="3.1722 0.0000 0.0000 0.0000 3.1722 0.0000 -1.5861 -1.5861 4.7335" Properties=species:S:1:pos:R:3 pbc="T T T"
Pd 1.5861 1.5861 1.2206
Cu 0.0000 0.0000 2.6076
Cd 1.5861 1.5861 4.2188
```

Computed properties:
Magnetic moment = 0.00 μB/f.u.
ρ = 9844 kg/m³
Crystal system = tetragonal
SG = I4mm (107)

---

<b>
The following is a PBE-GGA calculation of CdCuPd after structural relaxation, from Alexandria.

Cell and atoms, written as extended XYZ:
```
3
Lattice="-4.8924 -0.8920 1.2354 -3.6708 -1.2854 -1.4678 1.0754 -4.3568 1.1202" Properties=species:S:1:pos:R:3 pbc="T T T"
Cd 0.5377 -2.1784 0.5601
Cu -1.8354 -0.6427 -0.7339
Pd -4.2816 -1.0887 -0.1162
```

Computed properties:
Magnetic moment = 0.00 μB/f.u.
ρ = 8150 kg/m³
Crystal system = orthorhombic
SG = Pmmm (47)

---

Most stable structure: <a>

---

<a>
The following is a PBE-GGA calculation of Cd2CuPdPt after structural relaxation, from Alexandria.

Cell and atoms, written as extended XYZ:
```
5
Lattice="5.1076 0.0000 0.0000 0.0000 5.0582 0.0000 0.0000 0.0000 5.1076" Properties=species:S:1:pos:R:3 pbc="T T T"
Cu 2.5538 2.5291 2.5538
Pd 0.0000 2.5291 0.0000
Pt 0.0000 0.0000 0.0000
Cd 0.0000 0.0000 2.5538
Cd 2.5538 0.0000 0.0000
```

Computed properties:
Magnetic moment = 0.00 μB/f.u.
ρ = 7423 kg/m³
Crystal system = tetragonal
SG = P4/mmm (123)

---

<b>
The following is a PBE-GGA calculation of Cd2CuPdPt after structural relaxation, from Alexandria.

Cell and atoms, written as extended XYZ:
```
5
Lattice="5.1073 0.0000 0.0000 0.0000 4.7135 0.0000 0.0000 0.0000 5.1073" Properties=species:S:1:pos:R:3 pbc="T T T"
Cu 0.0000 2.3567 0.0000
Pd 2.5537 2.3567 2.5537
Pt 0.0000 0.0000 0.0000
Cd 0.0000 0.0000 2.5537
Cd 2.5537 0.0000 0.0000
```

Computed properties:
Magnetic moment = 0.00 μB/f.u.
ρ = 7967 kg/m³
Crystal system = tetragonal
SG = P4/mmm (123)

---

Most stable structure: <b>

---

<a>
The following is a PBE-GGA calculation of RbCd2CuPd after structural relaxation, from Alexandria.

Cell and atoms, written as extended XYZ:
```
5
Lattice="5.1349 0.0000 0.0000 0.0000 5.0629 0.0000 0.0000 0.0000 5.1349" Properties=species:S:1:pos:R:3 pbc="T T T"
Cu 0.0000 0.0000 0.0000
Rb 2.5675 2.5314 2.5675
Pd 0.0000 2.5314 0.0000
Cd 0.0000 0.0000 2.5675
Cd 2.5675 0.0000 0.0000
```

Computed properties:
Magnetic moment = 0.00 μB/f.u.
ρ = 5974 kg/m³
Crystal system = tetragonal
SG = P4/mmm (123)

---

<b>
The following is a PBE-GGA calculation of RbCd2CuPd after structural relaxation, from Alexandria.

Cell and atoms, written as extended XYZ:
```
5
Lattice="-3.2993 3.1436 2.7237 -0.5530 -3.7772 3.6896 3.9142 1.9076 2.5396" Properties=species:S:1:pos:R:3 pbc="T T T"
Cu 1.9571 0.9538 1.2698
Rb 0.0309 0.6370 4.4765
Pd 0.0000 0.0000 0.0000
Cd -0.2765 -1.8886 1.8448
Cd -1.6497 1.5718 1.3619
```

Computed properties:
Magnetic moment = 0.00 μB/f.u.
ρ = 5613 kg/m³
Crystal system = tetragonal
SG = P4/mmm (123)

---

Most stable structure: <b>